Below is a geometry-optimized Nd4Tl2Ru structure, with properties calculated at the PBE level.

Properties
Crystal system: monoclinic
DOS at the Fermi energy in states/eV/f.u.: 6.6
Formation energy in eV per atom: -0.292

The structure in POSCAR format:
```
Nd4Tl2Ru
1.0
5.819 -2.422 0.000
5.819 2.422 0.000
-5.117 0.000 7.393
Nd Tl Ru
4 2 1
Direct
0.070 0.070 0.354
0.335 0.335 0.950
0.665 0.665 0.050
0.930 0.930 0.646
0.340 0.340 0.328
0.660 0.660 0.672
0.000 0.000 0.000
```

***

Below is a geometry-optimized CdSnBiO2 structure, with properties calculated at the PBE level.

Properties
Crystal system: tetragonal
ΔE_f (raw) in eV per atom: -0.112
DOS at the Fermi energy in states/eV/f.u.: 2.7

The structure in POSCAR format:
```
CdSnBiO2
1.0
4.367 0.000 0.000
0.000 4.367 0.000
0.000 0.000 5.888
Cd Sn Bi O
1 1 1 2
Direct
0.000 0.000 0.000
0.500 0.500 0.000
0.000 0.000 0.500
0.000 0.500 0.500
0.500 0.000 0.500
```

***

Below is a geometry-optimized CrAu2C structure, with properties calculated at the PBE level.

Properties
Crystal system: tetragonal
DOS at the Fermi energy in states/eV/f.u.: 0.5
Formation energy in eV per atom: 1.192

The structure in POSCAR format:
```
CrAu2C
1.0
-2.586 2.586 5.884
2.586 -2.586 5.884
2.586 2.586 -5.884
Cr Au C
2 4 2
Direct
0.000 0.000 0.000
0.750 0.250 0.500
0.242 0.625 0.117
0.375 0.492 0.617
0.508 0.125 0.883
0.875 0.758 0.383
0.250 0.750 0.500
0.500 0.500 0.000
```

***

Below is a geometry-optimized MnBeRh structure, with properties calculated at the PBE level.

Properties
Crystal system: monoclinic
DOS at the Fermi energy in states/eV/f.u.: 3.2
Formation energy in eV per atom: -0.304

The structure in POSCAR format:
```
MnBeRh
1.0
2.770 0.000 0.000
0.000 3.828 0.000
-1.383 0.000 6.128
Mn Be Rh
2 2 2
Direct
0.240 0.250 0.480
0.760 0.750 0.520
0.424 0.750 0.848
0.576 0.250 0.152
0.088 0.750 0.175
0.912 0.250 0.825
```

***

Below is a geometry-optimized Nb4Ga6Rh7 structure, with properties calculated at the PBE level.

Properties
Crystal system: cubic
DOS at the Fermi energy in states/eV/f.u.: 14.9
Formation energy in eV per atom: -0.444

The structure in POSCAR format:
```
Nb4Ga6Rh7
1.0
-4.043 4.043 4.043
4.043 -4.043 4.043
4.043 4.043 -4.043
Nb Ga Rh
4 6 7
Direct
0.000 0.000 0.500
0.000 0.500 0.000
0.500 0.000 0.000
0.500 0.500 0.500
0.000 0.307 0.307
0.000 0.693 0.693
0.307 0.000 0.307
0.307 0.307 0.000
0.693 0.000 0.693
0.693 0.693 0.000
0.000 0.000 0.000
0.250 0.500 0.750
0.250 0.750 0.500
0.500 0.250 0.750
0.500 0.750 0.250
0.750 0.250 0.500
0.750 0.500 0.250
```

***

Below is a geometry-optimized Sc2Cu2Au structure, with properties calculated at the PBE level.

Properties
Crystal system: tetragonal
DOS at the Fermi energy in states/eV/f.u.: 5.6
Formation energy in eV per atom: -0.426

The structure in POSCAR format:
```
Sc2Cu2Au
1.0
7.035 0.000 0.000
0.000 7.035 0.000
0.000 0.000 3.498
Sc Cu Au
4 4 2
Direct
0.176 0.324 0.000
0.324 0.824 0.000
0.676 0.176 0.000
0.824 0.676 0.000
0.123 0.623 0.500
0.377 0.123 0.500
0.623 0.877 0.500
0.877 0.377 0.500
0.000 0.000 0.500
0.500 0.500 0.500
```

***

Below is a geometry-optimized H2BrCl structure, with properties calculated at the PBE level.

Properties
Crystal system: trigonal
DOS at the Fermi energy in states/eV/f.u.: 0.7

The structure in POSCAR format:
```
H2BrCl
1.0
1.816 1.049 5.508
-1.816 1.049 5.508
0.000 -2.097 5.508
H Br Cl
2 1 1
Direct
0.090 0.090 0.090
0.910 0.910 0.910
0.500 0.500 0.500
0.000 0.000 0.000
```

***

Below is a geometry-optimized HgHF4 structure, with properties calculated at the PBE level.

Properties
Crystal system: tetragonal

The structure in POSCAR format:
```
HgHF4
1.0
-3.813 3.813 3.226
3.813 -3.813 3.226
3.813 3.813 -3.226
Hg H F
2 2 8
Direct
0.000 0.000 0.000
0.750 0.250 0.500
0.102 0.602 0.500
0.352 0.352 0.000
0.048 0.401 0.353
0.048 0.696 0.647
0.151 0.298 0.853
0.446 0.298 0.147
0.536 0.231 0.695
0.536 0.840 0.305
0.590 0.786 0.805
0.981 0.786 0.195
```

***

Below is a geometry-optimized Cd2AgPb structure, with properties calculated at the PBE level.

Properties
Crystal system: tetragonal
DOS at the Fermi energy in states/eV/f.u.: 1.6
Formation energy in eV per atom: 0.072

The structure in POSCAR format:
```
Cd2AgPb
1.0
-2.237 2.237 4.704
2.237 -2.237 4.704
2.237 2.237 -4.704
Cd Ag Pb
2 1 1
Direct
0.250 0.750 0.500
0.750 0.250 0.500
0.000 0.000 0.000
0.500 0.500 0.000
```

***

Below is a geometry-optimized K3Er2AlSe6 structure, with properties calculated at the PBE level.

Properties
Crystal system: monoclinic
ΔE_f (raw) in eV per atom: -1.476
DOS at the Fermi energy in states/eV/f.u.: 0.0

The structure in POSCAR format:
```
K3Er2AlSe6
1.0
3.539 -6.131 0.000
3.539 6.131 0.000
-2.373 0.000 7.655
K Er Al Se
3 2 1 6
Direct
0.000 0.000 0.000
0.329 0.671 0.000
0.671 0.329 0.000
0.166 0.834 0.500
0.834 0.166 0.500
0.500 0.500 0.500
0.123 0.435 0.305
0.255 0.255 0.696
0.435 0.123 0.305
0.565 0.877 0.695
0.745 0.745 0.304
0.877 0.565 0.695
```

***

Below is a geometry-optimized Nd2Ge4PdRh3 structure, with properties calculated at the PBE level.

Properties
Crystal system: tetragonal
DOS at the Fermi energy in states/eV/f.u.: 7.0
Formation energy in eV per atom: -0.848

The structure in POSCAR format:
```
Nd2Ge4PdRh3
1.0
4.287 0.000 0.000
0.000 4.287 0.000
0.000 0.000 10.168
Nd Ge Pd Rh
2 4 1 3
Direct
0.000 0.500 0.241
0.500 0.000 0.759
0.000 0.000 0.000
0.000 0.500 0.634
0.500 0.000 0.366
0.500 0.500 0.000
0.000 0.000 0.500
0.000 0.500 0.875
0.500 0.000 0.125
0.500 0.500 0.500
```

***

Below is a geometry-optimized KMg4Zr structure, with properties calculated at the PBE level.

Properties
Crystal system: cubic
DOS at the Fermi energy in states/eV/f.u.: 6.0
Formation energy in eV per atom: 0.351

The structure in POSCAR format:
```
KMg4Zr
1.0
0.000 4.291 4.291
4.291 0.000 4.291
4.291 4.291 0.000
K Mg Zr
1 4 1
Direct
0.000 0.000 0.000
0.132 0.623 0.623
0.623 0.132 0.623
0.623 0.623 0.132
0.623 0.623 0.623
0.250 0.250 0.250
```

***

Below is a geometry-optimized NdDyErTm2 structure, with properties calculated at the PBE level.

Properties
Crystal system: orthorhombic
DOS at the Fermi energy in states/eV/f.u.: 6.7
Formation energy in eV per atom: 0.383

The structure in POSCAR format:
```
NdDyErTm2
1.0
4.168 -5.699 0.000
4.168 5.699 0.000
0.000 0.000 7.166
Nd Dy Er Tm
2 2 2 4
Direct
0.228 0.772 0.750
0.772 0.228 0.250
0.500 0.500 0.250
0.500 0.500 0.750
0.220 0.780 0.250
0.780 0.220 0.750
0.189 0.189 0.000
0.189 0.189 0.500
0.811 0.811 0.000
0.811 0.811 0.500
```

***

Below is a geometry-optimized Pu3Ge2Pt3 structure, with properties calculated at the PBE level.

Properties
Crystal system: orthorhombic
DOS at the Fermi energy in states/eV/f.u.: 30.3
Formation energy in eV per atom: -0.740

The structure in POSCAR format:
```
Pu3Ge2Pt3
1.0
7.817 0.000 0.000
0.000 15.063 0.000
0.000 0.000 5.711
Pu Ge Pt
12 8 12
Direct
0.032 0.110 0.139
0.032 0.390 0.139
0.169 0.250 0.602
0.331 0.750 0.102
0.468 0.610 0.639
0.468 0.890 0.639
0.532 0.110 0.361
0.532 0.390 0.361
0.669 0.250 0.898
0.831 0.750 0.398
0.968 0.610 0.861
0.968 0.890 0.861
0.119 0.609 0.352
0.119 0.891 0.352
0.381 0.109 0.852
0.381 0.391 0.852
0.619 0.609 0.148
0.619 0.891 0.148
0.881 0.109 0.648
0.881 0.391 0.648
0.174 0.033 0.592
0.174 0.467 0.592
0.190 0.750 0.618
0.310 0.250 0.118
0.326 0.533 0.092
0.326 0.967 0.092
0.674 0.033 0.908
0.674 0.467 0.908
0.690 0.750 0.882
0.810 0.250 0.382
0.826 0.533 0.408
0.826 0.967 0.408
```

***

Below is a geometry-optimized Ac4CuSb2 structure, with properties calculated at the PBE level.

Properties
Crystal system: tetragonal
ΔE_f (raw) in eV per atom: -0.478
DOS at the Fermi energy in states/eV/f.u.: 5.3

The structure in POSCAR format:
```
Ac4CuSb2
1.0
-2.734 2.734 8.907
2.734 -2.734 8.907
2.734 2.734 -8.907
Ac Cu Sb
4 1 2
Direct
0.000 0.500 0.500
0.177 0.177 0.000
0.500 0.000 0.500
0.823 0.823 0.000
0.000 0.000 0.000
0.366 0.366 0.000
0.634 0.634 0.000
```

***

Below is a geometry-optimized SrPW2 structure, with properties calculated at the PBE level.

Properties
Crystal system: orthorhombic
DOS at the Fermi energy in states/eV/f.u.: 4.2
Formation energy in eV per atom: 1.234

The structure in POSCAR format:
```
SrPW2
1.0
2.780 -5.015 0.000
2.780 5.015 0.000
0.000 0.000 2.758
Sr P W
1 1 2
Direct
0.000 0.000 0.000
0.500 0.500 0.000
0.000 0.500 0.500
0.500 0.000 0.500
```

***

Below is a geometry-optimized Hg5N2F12 structure, with properties calculated at the PBE level.

Properties
Crystal system: monoclinic
ΔE_f (raw) in eV per atom: -0.620
DOS at the Fermi energy in states/eV/f.u.: 2.9

The structure in POSCAR format:
```
Hg5N2F12
1.0
6.515 -2.982 0.000
6.515 2.982 0.000
-1.832 0.000 7.672
Hg N F
5 2 12
Direct
0.000 0.000 0.000
0.313 0.313 0.145
0.325 0.325 0.647
0.675 0.675 0.353
0.687 0.687 0.855
0.221 0.779 0.500
0.779 0.221 0.500
0.018 0.018 0.357
0.063 0.546 0.369
0.091 0.622 0.953
0.378 0.909 0.047
0.454 0.937 0.631
0.495 0.495 0.736
0.505 0.505 0.264
0.546 0.063 0.369
0.622 0.091 0.953
0.909 0.378 0.047
0.937 0.454 0.631
0.982 0.982 0.643
```

***

Below is a geometry-optimized AcCe2Ag6 structure, with properties calculated at the PBE level.

Properties
Crystal system: hexagonal
DOS at the Fermi energy in states/eV/f.u.: 17.8
Formation energy in eV per atom: -0.174

The structure in POSCAR format:
```
AcCe2Ag6
1.0
8.447 0.000 0.000
-4.223 7.315 0.000
0.000 0.000 3.609
Ac Ce Ag
1 2 6
Direct
0.000 0.000 0.000
0.333 0.667 0.000
0.667 0.333 0.000
0.000 0.336 0.500
0.000 0.664 0.500
0.336 0.000 0.500
0.336 0.336 0.500
0.664 0.000 0.500
0.664 0.664 0.500
```

***

Below is a geometry-optimized FeCu2SiRu structure, with properties calculated at the PBE level.

Properties
Crystal system: tetragonal
ΔE_f (raw) in eV per atom: 1.072
DOS at the Fermi energy in states/eV/f.u.: 4.7

The structure in POSCAR format:
```
FeCu2SiRu
1.0
4.290 0.000 0.000
0.000 4.290 0.000
0.000 0.000 4.193
Fe Cu Si Ru
1 2 1 1
Direct
0.000 0.000 0.000
0.000 0.500 0.000
0.500 0.000 0.000
0.000 0.000 0.500
0.500 0.500 0.500
```

***

Below is a geometry-optimized Sm3YTl4S8 structure, with properties calculated at the PBE level.

Properties
Crystal system: trigonal
ΔE_f (raw) in eV per atom: -1.474
DOS at the Fermi energy in states/eV/f.u.: 0.0

The structure in POSCAR format:
```
Sm3YTl4S8
1.0
4.104 2.369 7.512
-4.104 2.369 7.512
0.000 -4.739 7.512
Sm Y Tl S
3 1 4 8
Direct
0.000 0.500 0.500
0.500 0.000 0.500
0.500 0.500 0.000
0.000 0.000 0.000
0.000 0.000 0.500
0.000 0.500 0.000
0.500 0.000 0.000
0.500 0.500 0.500
0.231 0.231 0.738
0.231 0.738 0.231
0.262 0.769 0.769
0.266 0.266 0.266
0.734 0.734 0.734
0.738 0.231 0.231
0.769 0.262 0.769
0.769 0.769 0.262
```

***

Number 1: electronic total energy -5.02 eV/atom. Number 2: electronic total energy -3.86 eV/atom. Number 3: electronic total energy -5.16 eV/atom. Number 4: electronic total energy -7.05 eV/atom. Number 5: electronic total energy -6.91 eV/atom. Number 6: electronic total energy -5.25 eV/atom. Number 7: electronic total energy -2.31 eV/atom. Number 8: electronic total energy -2.93 eV/atom. Number 9: electronic total energy -2.03 eV/atom. Number 10: electronic total energy -4.56 eV/atom. Number 11: electronic total energy -6.37 eV/atom. Number 12: electronic total energy -2.32 eV/atom. Number 13: electronic total energy -4.19 eV/atom. Number 14: electronic total energy -9.53 eV/atom. Number 15: electronic total energy -4.59 eV/atom. Number 16: electronic total energy -7.02 eV/atom. Number 17: electronic total energy -2.76 eV/atom. Number 18: electronic total energy -3.85 eV/atom. Number 19: electronic total energy -5.20 eV/atom. Number 20: electronic total energy -5.42 eV/atom.